(1)
First-principles (PBE) data for CdSnHg2Pb5 after structural relaxation, as listed in Alexandria via LeMat-Bulk.

Lattice parameters (Å, degrees): 7.692 7.692 10.739 110.98 110.98 90.00
Element x y z (fractional)
Hg 0.128 0.372 0.000
Hg 0.872 0.628 0.000
Hg 0.372 0.872 0.000
Hg 0.628 0.128 0.000
Pb 0.086 0.586 0.710
Pb 0.414 0.376 0.290
Pb 0.376 0.876 0.290
Pb 0.500 0.500 0.000
Pb 0.876 0.914 0.290
Pb 0.124 0.086 0.710
Pb 0.914 0.414 0.290
Pb 0.000 0.000 0.000
Pb 0.624 0.124 0.710
Pb 0.586 0.624 0.710
Cd 0.250 0.750 0.500
Cd 0.750 0.250 0.500
Sn 0.750 0.750 0.500
Sn 0.250 0.250 0.500

Calculated values
**Theoretical density**: 10.11 g/cm3
**DOS(E_F)**: 7.9 states/eV per cell
**SG**: I4/mcm
**Total magnetization**: 0.00 Bohr magnetons per cell
**DFT formation energy**: 0.11 eV/atom

---

(2)
First-principles (PBE) data for CdSnHg3Pb after structural relaxation, as listed in Alexandria via LeMat-Bulk.

Lattice parameters (Å, degrees): 4.407 7.639 9.842 101.10 90.00 90.00
Element x y z (fractional)
Pb 0.250 0.178 0.288
Pb 0.750 0.822 0.712
Hg 0.250 0.593 0.854
Hg 0.250 0.623 0.467
Hg 0.750 0.896 0.057
Hg 0.750 0.407 0.146
Hg 0.750 0.377 0.533
Hg 0.250 0.104 0.943
Sn 0.750 0.896 0.384
Sn 0.250 0.104 0.616
Cd 0.750 0.316 0.829
Cd 0.250 0.684 0.171

Calculated values
**Theoretical density**: 10.62 g/cm3
**DOS(E_F)**: 4.6 states/eV per cell
**SG**: P2_1/m
**Total magnetization**: 0.00 Bohr magnetons per cell
**DFT formation energy**: 0.05 eV/atom

---

(3)
First-principles (PBE) data for CdSnHg5Pb2 after structural relaxation, as listed in Alexandria via LeMat-Bulk.

Lattice parameters (Å, degrees): 3.535 9.820 14.381 90.00 90.00 100.37
Element x y z (fractional)
Hg 0.711 0.422 0.879
Hg 0.888 0.775 0.525
Hg 0.288 0.575 0.695
Hg 0.712 0.425 0.195
Hg 0.289 0.578 0.379
Hg 0.572 0.144 0.544
Hg 0.545 0.091 0.183
Hg 0.112 0.225 0.025
Hg 0.428 0.856 0.044
Hg 0.455 0.909 0.683
Cd 0.727 0.454 0.537
Cd 0.273 0.546 0.037
Sn 0.529 0.058 0.879
Sn 0.471 0.942 0.379
Pb 0.123 0.246 0.358
Pb 0.877 0.754 0.858
Pb 0.121 0.242 0.724
Pb 0.879 0.758 0.224

Calculated values
**Theoretical density**: 11.15 g/cm3
**DOS(E_F)**: 6.0 states/eV per cell
**SG**: Cmc2_1
**Total magnetization**: 0.00 Bohr magnetons per cell
**DFT formation energy**: 0.04 eV/atom

---

(4)
First-principles (PBE) data for Cd3SnHgPb after structural relaxation, as listed in Alexandria via LeMat-Bulk.

Lattice parameters (Å, degrees): 3.408 9.577 10.045 110.02 90.00 90.00
Element x y z (fractional)
Hg 0.750 0.362 0.874
Hg 0.250 0.638 0.126
Cd 0.750 0.886 0.045
Cd 0.250 0.114 0.955
Cd 0.750 0.384 0.175
Cd 0.250 0.590 0.422
Cd 0.250 0.616 0.825
Cd 0.750 0.410 0.578
Sn 0.250 0.119 0.628
Sn 0.750 0.881 0.372
Pb 0.750 0.827 0.692
Pb 0.250 0.173 0.308

Calculated values
**Theoretical density**: 9.31 g/cm3
**DOS(E_F)**: 2.8 states/eV per cell
**SG**: P2_1/m
**Total magnetization**: 0.00 Bohr magnetons per cell
**DFT formation energy**: 0.04 eV/atom

---

(5)
First-principles (PBE) data for CdSnHgPb after structural relaxation, as listed in Alexandria via LeMat-Bulk.

Lattice parameters (Å, degrees): 5.371 5.371 5.371 60.00 60.00 60.00
Element x y z (fractional)
Pb 0.250 0.250 0.250
Cd 0.750 0.750 0.750
Hg 0.500 0.500 0.500
Sn 0.000 0.000 0.000

Calculated values
**Theoretical density**: 9.69 g/cm3
**DOS(E_F)**: 1.0 states/eV per cell
**SG**: F-43m
**Total magnetization**: 0.00 Bohr magnetons per cell
**DFT formation energy**: 0.04 eV/atom

---

(6)
First-principles (PBE) data for CdSn2HgPb after structural relaxation, as listed in Alexandria via LeMat-Bulk.

Lattice parameters (Å, degrees): 4.439 4.439 8.226 105.65 105.65 90.00
Element x y z (fractional)
Cd 0.902 0.902 0.804
Sn 0.255 0.755 0.511
Sn 0.755 0.255 0.511
Pb 0.100 0.100 0.200
Hg 0.487 0.487 0.975

Calculated values
**Theoretical density**: 8.40 g/cm3
**DOS(E_F)**: 2.1 states/eV per cell
**SG**: I4mm
**Total magnetization**: 0.00 Bohr magnetons per cell
**DFT formation energy**: 0.10 eV/atom